Entry 1:
Mg4H5Ir | PBE | relaxed

Values from the calculation:
Its energy is -3.439 eV/atom. As for the polymorph energy (0 for the lowest one): 0.061 eV per atom. For the density, the calculation gives 4.11 g/cm3.

Unit cell a=5.056 b=5.813 c=5.054 alpha=92.60 beta=53.41 gamma=92.60
Fractional coordinates of all 10 atoms:
Ir (0.969, 0.773, 0.664)
H (0.235, 0.255, 0.931)
H (0.815, 0.953, 0.990)
H (0.117, 0.611, 0.813)
H (0.295, 0.953, 0.510)
H (0.511, 0.281, 0.207)
Mg (0.022, 0.276, 0.717)
Mg (0.361, 0.997, 0.055)
Mg (0.366, 0.520, 0.062)
Mg (0.673, 0.728, 0.367)

=====

Entry 2:
CsSn2Mo | PBE | relaxed

Values from the calculation:
Its energy is -3.983 eV/atom. For the density, the calculation gives 6.83 g/cm3. The formation energy comes out at 0.940 eV/atom. The density of states at the Fermi level is 2.66 states/eV/cell.

Unit cell a=5.431 b=5.431 c=5.431 alpha=60.00 beta=60.00 gamma=60.00
Last column: magnetic moment on the atom in μB.
Fractional coordinates of all 4 atoms:
Sn (0.250, 0.250, 0.250)  -0.08
Sn (0.750, 0.750, 0.750)  -0.08
Mo (0.000, 0.000, 0.000)  2.61
Cs (0.500, 0.500, 0.500)  0.00

=====

Entry 3:
Ac2Ni4Sb3Pd | PBE | relaxed

Values from the calculation:
Its energy is -5.518 eV/atom. As for the raw formation energy: -60.5 kJ per mole of atoms. For the density, the calculation gives 9.32 g/cm3. The density of states at the Fermi level is 8.10 states/eV/cell.

Unit cell a=4.480 b=4.480 c=10.304 alpha=90.00 beta=90.00 gamma=90.00
Fractional coordinates of all 10 atoms:
Ni (0.500, 0.500, 0.000)
Ni (0.000, 0.500, 0.373)
Ni (0.000, 0.000, 0.000)
Ni (0.500, 0.000, 0.627)
Sb (0.000, 0.500, 0.125)
Sb (0.500, 0.000, 0.875)
Sb (0.000, 0.000, 0.500)
Ac (0.500, 0.000, 0.251)
Ac (0.000, 0.500, 0.749)
Pd (0.500, 0.500, 0.500)

=====

Entry 4:
BeTl2Os | PBE | relaxed

Values from the calculation:
Its energy is -3.679 eV/atom. As for the polymorph energy (0 for the lowest one): 0.819 eV per atom. For the density, the calculation gives 13.10 g/cm3. The formation energy comes out at 1.243 eV/atom. The density of states at the Fermi level is 10.54 states/eV/cell.

Unit cell a=7.436 b=7.436 c=5.951 alpha=51.34 beta=51.34 gamma=90.00
Last column: magnetic moment on the atom in μB.
Fractional coordinates of all 8 atoms:
Tl (0.154, 0.625, 0.250)  0.02
Tl (0.875, 0.846, 0.750)  0.01
Tl (0.596, 0.125, 0.250)  0.02
Tl (0.375, 0.404, 0.750)  0.01
Os (0.750, 0.250, 0.500)  0.81
Os (0.000, 0.000, 0.000)  0.82
Be (0.250, 0.750, 0.500)  0.01
Be (0.500, 0.500, 0.000)  0.01

=====

Entry 5:
KCePaSe4 | PBE | relaxed

Values from the calculation:
Its energy is -5.850 eV/atom. As for the raw formation energy: -144.6 kJ per mole of atoms. For the density, the calculation gives 4.86 g/cm3. The density of states at the Fermi level is 26.62 states/eV/cell.

Unit cell a=8.687 b=8.906 c=9.034 alpha=120.48 beta=90.00 gamma=119.19
Last column: magnetic moment on the atom in μB.
Fractional coordinates of all 14 atoms:
Ce (0.500, 0.000, 0.000)  0.98
Ce (0.500, 0.000, 0.500)  0.98
Se (0.748, 0.052, 0.276)  -0.03
Se (0.697, 0.948, 0.724)  -0.03
Se (0.736, 0.472, 0.696)  -0.03
Se (0.264, 0.528, 0.724)  -0.03
Se (0.736, 0.472, 0.276)  -0.03
Se (0.303, 0.052, 0.276)  -0.03
Se (0.264, 0.528, 0.304)  -0.03
Se (0.252, 0.948, 0.724)  -0.03
K (0.871, 0.742, 0.121)  0.00
K (0.129, 0.258, 0.879)  0.00
Pa (0.000, 0.500, 0.500)  0.97
Pa (0.500, 0.500, 0.500)  0.97